! TbY2Tm2Mg5 (GGA-PBE, optimized geometry); values from VASP
&SYSTEM
  ibrav = 0, nat = 20, ntyp = 4
/
ATOMIC_SPECIES
Mg 24.30 Mg.upf
Tm 168.93 Tm.upf
Tb 158.93 Tb.upf
Y 88.91 Y.upf
ATOMIC_POSITIONS angstrom
Mg 2.5186 5.2888 0.0000
Mg 2.5186 8.4761 9.8454
Tm 0.0000 1.2429 6.5316
Mg 2.5186 7.3901 4.5567
Tb 0.0000 5.2888 5.2888
Tm 0.0000 4.0459 1.2429
Mg 2.5186 6.0208 7.3901
Tm 0.0000 6.5316 9.3346
Tm 0.0000 9.3346 4.0459
Y 0.0000 1.8889 3.3999
Mg 2.5186 0.0000 5.2888
Mg 2.5186 9.8454 2.1014
Y 0.0000 8.6886 7.1776
Tb 0.0000 0.0000 0.0000
Mg 2.5186 2.1014 0.7321
Mg 2.5186 4.5567 3.1874
Y 0.0000 3.3999 8.6886
Mg 2.5186 0.7321 8.4761
Mg 2.5186 3.1874 6.0208
Y 0.0000 7.1776 1.8889
CELL_PARAMETERS angstrom
5.0373 0.0000 0.0000
0.0000 10.5775 0.0000
0.0000 0.0000 10.5775
! formation energy from the elements = 75 meV per atom
! DOS at the Fermi energy = 16.6 states/eV/cell
! total magnetic moment = 0.00 Bohr magnetons per cell
! energy = -3.37 eV per atom
! symmetry = P4/mbm

***

! HoZrGe2 (GGA-PBE, optimized geometry); values from VASP
&SYSTEM
  ibrav = 0, nat = 8, ntyp = 3
/
ATOMIC_SPECIES
Zr 91.22 Zr.upf
Ho 164.93 Ho.upf
Ge 72.64 Ge.upf
ATOMIC_POSITIONS angstrom
Zr 0.0000 0.0000 0.0000
Ho 2.8212 2.8212 0.0000
Ge 0.0000 0.0000 2.7485
Ho 0.0000 2.8212 2.8233
Zr 2.8212 0.0000 2.8233
Ge 2.8212 0.0000 0.0748
Ge 2.8212 2.8212 2.8982
Ge 2.8212 0.0000 5.5719
CELL_PARAMETERS angstrom
5.6424 0.0000 0.0000
0.0000 5.6424 0.0000
-2.8212 -2.8212 5.6467
! formation energy from the elements = -692 meV per atom
! ΔE to the lowest computed polymorph = 10.9 kJ per mole of atoms
! DOS at the Fermi energy = 6.4 states/eV/cell
! total magnetic moment = 0.00 Bohr magnetons per cell
! energy = -6.28 eV per atom
! symmetry = I4_1/amd

***

Copy entry 2 word for word.
! HoZrGe2 (GGA-PBE, optimized geometry); values from VASP
&SYSTEM
  ibrav = 0, nat = 8, ntyp = 3
/
ATOMIC_SPECIES
Zr 91.22 Zr.upf
Ho 164.93 Ho.upf
Ge 72.64 Ge.upf
ATOMIC_POSITIONS angstrom
Zr 0.0000 0.0000 0.0000
Ho 2.8212 2.8212 0.0000
Ge 0.0000 0.0000 2.7485
Ho 0.0000 2.8212 2.8233
Zr 2.8212 0.0000 2.8233
Ge 2.8212 0.0000 0.0748
Ge 2.8212 2.8212 2.8982
Ge 2.8212 0.0000 5.5719
CELL_PARAMETERS angstrom
5.6424 0.0000 0.0000
0.0000 5.6424 0.0000
-2.8212 -2.8212 5.6467
! formation energy from the elements = -692 meV per atom
! ΔE to the lowest computed polymorph = 10.9 kJ per mole of atoms
! DOS at the Fermi energy = 6.4 states/eV/cell
! total magnetic moment = 0.00 Bohr magnetons per cell
! energy = -6.28 eV per atom
! symmetry = I4_1/amd

***

Question: The lowest energy belongs to which entry?
Answer: HoZrGe2